[1]
## Hf3CrGe (PBE)

Data for a relaxed structure of Hf3CrGe.

a = 4.768 Å, b = 4.768 Å, c = 4.768 Å
α = 90.00°, β = 90.00°, γ = 90.00°
Element x y z (fractional)
Hf  0.500  0.000  0.000
Hf  0.000  0.000  0.500
Hf  0.000  0.500  0.000
Ge  0.500  0.500  0.500
Cr  0.000  0.000  0.000

Calculated values
**E above lowest polymorph**: 0 meV per atom
**ρ**: 10.1 g/cm³
**Magnetic moment**: 0.0 Bohr magnetons per cell
**Total energy**: -41.3 eV for the cell shown
**SG**: Pm-3m (221)


[2]
## HfCrGe (PBE)

Data for a relaxed structure of HfCrGe.

a = 3.370 Å, b = 5.289 Å, c = 6.092 Å
α = 73.88°, β = 73.94°, γ = 71.42°
Element x y z (fractional)
Hf  0.432  0.344  0.793
Hf  0.568  0.656  0.207
Cr  0.828  0.785  0.559
Cr  0.172  0.215  0.441
Ge  0.146  0.883  0.824
Ge  0.854  0.117  0.176

Calculated values
**ρ**: 10.4 g/cm³
**Magnetic moment**: 0.0 Bohr magnetons per cell
**Total energy**: -50.2 eV for the cell shown
**SG**: C2/m (12)


[3]
## HfCr2Ge2 (PBE)

Data for a relaxed structure of HfCr2Ge2.

a = 7.087 Å, b = 7.087 Å, c = 2.967 Å
α = 90.00°, β = 90.00°, γ = 90.00°
Element x y z (fractional)
Ge  0.643  0.143  0.000
Ge  0.357  0.857  0.000
Ge  0.143  0.357  0.000
Ge  0.857  0.643  0.000
Cr  0.146  0.646  0.500
Cr  0.854  0.354  0.500
Cr  0.354  0.146  0.500
Cr  0.646  0.854  0.500
Hf  0.500  0.500  0.000
Hf  0.000  0.000  0.000

Calculated values
**E above lowest polymorph**: 0 meV per atom
**ρ**: 9.5 g/cm³
**Magnetic moment**: 0.0 Bohr magnetons per cell
**Total energy**: -77.5 eV for the cell shown
**SG**: P4/mbm (127)